First-principles (PBE-GGA) data for a relaxed LaAs2Pd7 crystal, as listed in the Alexandria database.

It has space group I4/mmm (No. 139), with a = 4.198 Å, b = 4.198 Å, c = 20.433 Å, α = 90.00°, β = 90.00° and γ = 90.00°. The inequivalent atoms are La at (0.000, 0.000, 0.000), As at (0.000, 0.000, 0.324), Pd at (0.000, 0.000, 0.500), Pd at (0.000, 0.500, 0.107) and Pd at (0.000, 0.500, 0.250).

The formation energy from the elements is -0.538 eV/atom. As for the density of states at the Fermi level: 11.2 states/eV/cell.